# MoH8N2O4 GGA-PBEsol relaxed
data_MoH8N2O4
_chemical_formula_sum 'Mo4 H32 N8 O16'
_symmetry_space_group_name_H-M 'C 1 2/m 1'
_symmetry_Int_Tables_number 12
_cell_length_a 12.595
_cell_length_b 6.678
_cell_length_c 7.680
_cell_angle_alpha 90.00
_cell_angle_beta 119.43
_cell_angle_gamma 90.00
loop_
_symmetry_equiv_pos_as_xyz
'x,y,z'
'-x,-y,-z'
'-x,y,-z'
'x,-y,z'
'x+1/2,y+1/2,z'
'-x+1/2,-y+1/2,-z'
'-x+1/2,y+1/2,-z'
'x+1/2,-y+1/2,z'
loop_
_atom_site_label
_atom_site_fract_x
_atom_site_fract_y
_atom_site_fract_z
Mo1 0.168 0.000 0.224
H1 0.055 0.374 0.870
H2 0.058 0.500 0.339
H3 0.088 0.500 0.709
H4 0.092 0.000 0.753
H5 0.137 0.000 0.578
H6 0.225 0.125 0.802
N1 0.033 0.500 0.777
N2 0.169 0.000 0.734
O1 0.070 0.000 0.327
O2 0.145 0.216 0.077
O3 0.178 0.500 0.584
# Energy relative to the lowest polymorph listed for this composition: 0 meV/atom
# Crystal system: monoclinic